No. 1
Entry from Alexandria via LeMat-Bulk: a relaxed AlSiNi crystal (PBE).

Crystal system: orthorhombic
Energy relative to the elements, uncorrected in eV per atom: -0.222
M_tot in μB per formula unit: 0.0
Calculated total energy in eV/atom: -5.204

a b c (Å): 4.337 4.337 4.337
angles (deg): 138.60 132.30 64.96
Element x y z (fractional)
Al 0.000 0.000 0.000
Si 0.331 0.331 0.000
Ni 0.664 0.664 0.000

=====

No. 2
Entry from Alexandria via LeMat-Bulk: a relaxed AlSi3Ni3 crystal (PBE).

Crystal system: orthorhombic
Energy relative to the elements, uncorrected in eV per atom: -0.311
M_tot in μB per formula unit: 0.0
Calculated total energy in eV/atom: -5.648

a b c (Å): 3.467 6.941 7.515
angles (deg): 90.00 90.00 90.00
Element x y z (fractional)
Al 0.250 0.250 0.167
Al 0.750 0.750 0.833
Si 0.250 0.080 0.592
Si 0.250 0.420 0.592
Si 0.250 0.750 0.115
Si 0.750 0.250 0.885
Si 0.750 0.580 0.408
Si 0.750 0.920 0.408
Ni 0.250 0.002 0.881
Ni 0.250 0.498 0.881
Ni 0.250 0.750 0.578
Ni 0.750 0.250 0.422
Ni 0.750 0.502 0.119
Ni 0.750 0.998 0.119

=====

No. 3
Entry from Alexandria via LeMat-Bulk: a relaxed AlSiNi2 crystal (PBE).

Crystal system: orthorhombic
Energy relative to the elements, uncorrected in eV per atom: -0.499
M_tot in μB per formula unit: 0.0
Calculated total energy in eV/atom: -5.681

a b c (Å): 5.363 5.363 6.545
angles (deg): 90.00 90.00 148.92
Element x y z (fractional)
Al 0.024 0.976 0.750
Al 0.976 0.024 0.250
Si 0.247 0.753 0.250
Si 0.753 0.247 0.750
Ni 0.370 0.630 0.543
Ni 0.370 0.630 0.957
Ni 0.630 0.370 0.043
Ni 0.630 0.370 0.457

=====

No. 4
Entry from Alexandria via LeMat-Bulk: a relaxed Al4SiNi crystal (PBE).

Crystal system: orthorhombic
Energy relative to the elements, uncorrected in eV per atom: -0.144
M_tot in μB per formula unit: 0.0
Calculated total energy in eV/atom: -4.506

a b c (Å): 7.692 3.718 6.574
angles (deg): 90.00 90.00 90.00
Element x y z (fractional)
Al 0.000 0.000 0.000
Al 0.054 0.500 0.312
Al 0.250 0.500 0.911
Al 0.446 0.500 0.312
Al 0.500 0.000 0.000
Al 0.554 0.500 0.688
Al 0.750 0.500 0.089
Al 0.946 0.500 0.688
Si 0.250 0.000 0.553
Si 0.750 0.000 0.447
Ni 0.250 0.000 0.202
Ni 0.750 0.000 0.798

=====

No. 5
Entry from Alexandria via LeMat-Bulk: a relaxed AlSiNi crystal (PBE).

Crystal system: hexagonal
Energy relative to the elements, uncorrected in eV per atom: -0.209
M_tot in μB per formula unit: 0.0
Calculated total energy in eV/atom: -5.191

a b c (Å): 3.916 3.916 3.028
angles (deg): 90.00 90.00 120.00
Element x y z (fractional)
Al 0.000 0.000 0.000
Si 0.333 0.667 0.500
Ni 0.667 0.333 0.500

=====

No. 6
Entry from Alexandria via LeMat-Bulk: a relaxed Al2SiNi5 crystal (PBE).

Crystal system: orthorhombic
Energy relative to the elements, uncorrected in eV per atom: -0.343
M_tot in μB per formula unit: 0.0
Calculated total energy in eV/atom: -5.570

a b c (Å): 6.684 6.684 6.684
angles (deg): 156.87 123.74 61.64
Element x y z (fractional)
Al 0.210 0.210 0.000
Al 0.790 0.790 0.000
Si 0.500 0.000 0.500
Ni 0.000 0.000 0.000
Ni 0.166 0.382 0.784
Ni 0.401 0.618 0.784
Ni 0.599 0.382 0.216
Ni 0.834 0.618 0.216

=====

No. 7
Entry from Alexandria via LeMat-Bulk: a relaxed Al6SiNi crystal (PBE).

Crystal system: tetragonal
Energy relative to the elements, uncorrected in eV per atom: 0.029
M_tot in μB per formula unit: 0.0
Calculated total energy in eV/atom: -4.178

a b c (Å): 3.913 3.913 9.099
angles (deg): 90.00 90.00 90.00
Element x y z (fractional)
Al 0.000 0.000 0.136
Al 0.000 0.000 0.864
Al 0.000 0.500 0.344
Al 0.000 0.500 0.656
Al 0.500 0.000 0.344
Al 0.500 0.000 0.656
Si 0.500 0.500 0.000
Ni 0.500 0.500 0.500

=====

No. 8
Entry from Alexandria via LeMat-Bulk: a relaxed AlSiNi2 crystal (PBE).

Crystal system: hexagonal
Energy relative to the elements, uncorrected in eV per atom: -0.172
M_tot in μB per formula unit: 0.0
Calculated total energy in eV/atom: -5.355

a b c (Å): 4.132 4.132 6.922
angles (deg): 90.00 90.00 120.00
Element x y z (fractional)
Al 0.000 0.000 0.250
Al 0.000 0.000 0.750
Si 0.333 0.667 0.250
Si 0.667 0.333 0.750
Ni 0.333 0.667 0.579
Ni 0.333 0.667 0.921
Ni 0.667 0.333 0.079
Ni 0.667 0.333 0.421

=====

No. 9
Entry from Alexandria via LeMat-Bulk: a relaxed Al3Si3Ni2 crystal (PBE).

Crystal system: triclinic
Energy relative to the elements, uncorrected in eV per atom: -0.171
M_tot in μB per formula unit: 0.0
Calculated total energy in eV/atom: -5.053

a b c (Å): 5.184 6.011 8.087
angles (deg): 106.81 92.46 112.64
Element x y z (fractional)
Al 0.128 0.307 0.488
Al 0.236 0.469 0.994
Al 0.315 0.084 0.734
Al 0.685 0.916 0.266
Al 0.764 0.531 0.006
Al 0.872 0.693 0.512
Si 0.175 0.882 0.298
Si 0.236 0.956 0.013
Si 0.456 0.392 0.260
Si 0.544 0.608 0.740
Si 0.764 0.044 0.987
Si 0.825 0.118 0.702
Ni 0.049 0.587 0.757
Ni 0.407 0.759 0.496
Ni 0.593 0.241 0.504
Ni 0.951 0.413 0.243

=====

No. 10
Entry from Alexandria via LeMat-Bulk: a relaxed AlSi3Ni crystal (PBE).

Crystal system: cubic
Energy relative to the elements, uncorrected in eV per atom: 0.443
M_tot in μB per formula unit: 0.0
Calculated total energy in eV/atom: -4.716

a b c (Å): 4.420 4.420 4.420
angles (deg): 90.00 90.00 90.00
Element x y z (fractional)
Al 0.000 0.000 0.000
Si 0.000 0.500 0.500
Si 0.500 0.000 0.500
Si 0.500 0.500 0.000
Ni 0.500 0.500 0.500

=====

No. 11
Entry from Alexandria via LeMat-Bulk: a relaxed Al3SiNi12 crystal (PBE).

Crystal system: tetragonal
Energy relative to the elements, uncorrected in eV per atom: -0.435
M_tot in μB per formula unit: 2.3
Calculated total energy in eV/atom: -5.812

a b c (Å): 3.551 3.551 14.196
angles (deg): 90.00 90.00 90.00
Element x y z (fractional)
Al 0.000 0.000 0.000
Al 0.000 0.000 0.252
Al 0.000 0.000 0.748
Si 0.000 0.000 0.500
Ni 0.000 0.500 0.126
Ni 0.000 0.500 0.380
Ni 0.000 0.500 0.620
Ni 0.000 0.500 0.874
Ni 0.500 0.000 0.126
Ni 0.500 0.000 0.380
Ni 0.500 0.000 0.620
Ni 0.500 0.000 0.874
Ni 0.500 0.500 0.000
Ni 0.500 0.500 0.253
Ni 0.500 0.500 0.500
Ni 0.500 0.500 0.747

=====

No. 12
Entry from Alexandria via LeMat-Bulk: a relaxed AlSi6Ni crystal (PBE).

Crystal system: tetragonal
Energy relative to the elements, uncorrected in eV per atom: 0.180
M_tot in μB per formula unit: 0.0
Calculated total energy in eV/atom: -5.078

a b c (Å): 3.985 3.985 7.978
angles (deg): 90.00 90.00 90.00
Element x y z (fractional)
Al 0.000 0.000 0.000
Si 0.000 0.500 0.333
Si 0.000 0.500 0.667
Si 0.500 0.000 0.333
Si 0.500 0.000 0.667
Si 0.500 0.500 0.150
Si 0.500 0.500 0.850
Ni 0.000 0.000 0.500